# NaReC3

A relaxed NaReC3 crystal (GGA-PBE, Alexandria via LeMat-Bulk).

Polymorph energy (0 for the lowest one): 2694.1 meV per atom
Formation energy from the elements: 20.20 eV/f.u.

```
5
Lattice="3.935 0.000 0.000 0.000 3.935 0.000 0.000 0.000 3.935" Properties=species:S:1:pos:R:3 pbc="T T T"
Na 0.000 0.000 0.000
Re 1.968 1.968 1.968
C 0.000 0.000 1.968
C 0.000 1.968 0.000
C 1.968 0.000 0.000
```



# CsK2TlAu

A relaxed CsK2TlAu crystal (GGA-PBE, Alexandria via LeMat-Bulk).

Polymorph energy (0 for the lowest one): 61.8 meV per atom
Formation energy from the elements: -0.14 eV/f.u.

```
5
Lattice="6.355 0.000 0.000 0.000 6.355 0.000 0.000 0.000 6.829" Properties=species:S:1:pos:R:3 pbc="T T T"
Cs 0.000 0.000 0.000
K 0.000 3.178 3.414
K 3.178 0.000 3.414
Tl 3.178 3.178 0.000
Au 0.000 0.000 3.414
```



# Tl3RhI

A relaxed Tl3RhI crystal (GGA-PBE, Alexandria via LeMat-Bulk).

Formation energy from raw total energies: 0.02 eV/atom
Polymorph energy (0 for the lowest one): 281.7 meV per atom

```
10
Lattice="4.652 0.000 0.000 -2.326 4.028 0.000 0.000 0.000 19.525" Properties=species:S:1:pos:R:3 pbc="T T T"
Tl 0.000 0.000 4.881
Tl 0.000 0.000 14.644
Tl 0.000 2.686 2.158
Tl 0.000 2.686 7.604
Tl 2.326 1.343 11.921
Tl 2.326 1.343 17.367
Rh 0.000 2.686 4.881
Rh 2.326 1.343 14.644
I 0.000 0.000 0.000
I 0.000 0.000 9.762
```



# Rb2RuCl7

A relaxed Rb2RuCl7 crystal (GGA-PBE, Alexandria via LeMat-Bulk).

Formation energy from raw total energies: -0.92 eV/atom
Polymorph energy (0 for the lowest one): 55.6 meV per atom

```
20
Lattice="8.488 -3.626 0.000 8.488 3.626 0.000 -8.224 0.000 9.927" Properties=species:S:1:pos:R:3 pbc="T T T"
Rb -1.537 2.188 9.446
Rb 6.177 2.188 5.444
Rb 2.575 -2.188 4.483
Rb 10.289 -2.188 0.480
Ru 2.320 1.700 7.445
Ru 6.432 -1.700 2.482
Cl -4.723 0.036 7.645
Cl -0.611 -0.036 2.681
Cl 2.901 1.673 5.138
Cl 0.116 0.928 6.793
Cl 1.738 1.673 9.752
Cl 6.432 0.708 2.482
Cl 4.228 -0.928 1.830
Cl 4.524 0.928 8.097
Cl 2.320 -0.708 7.445
Cl 7.014 -1.673 0.174
Cl 8.636 -0.928 3.133
Cl 5.850 -1.673 4.789
Cl 9.363 0.036 7.245
Cl 13.475 -0.036 2.282
```



# Tb3GaTe6

A relaxed Tb3GaTe6 crystal (GGA-PBE, Alexandria via LeMat-Bulk).

Formation energy from raw total energies: -1.11 eV/atom

```
20
Lattice="6.066 -7.494 0.000 6.066 7.494 0.000 0.000 0.000 7.267" Properties=species:S:1:pos:R:3 pbc="T T T"
Tb 6.066 6.088 3.634
Tb 3.870 1.444 4.450
Tb 3.870 -1.444 0.816
Tb 8.261 1.444 4.450
Tb 8.261 -1.444 0.816
Tb 6.066 -6.088 0.000
Ga 6.066 3.068 1.051
Ga 6.066 -3.068 4.685
Te 4.002 4.033 2.423
Te 1.990 0.576 2.205
Te 1.990 -0.576 5.839
Te 6.066 3.322 5.678
Te 8.129 4.033 2.423
Te 6.066 0.588 2.142
Te 6.066 -0.588 5.775
Te 4.002 -4.033 6.056
Te 6.066 -3.322 2.044
Te 10.142 0.576 2.205
Te 10.142 -0.576 5.839
Te 8.129 -4.033 6.056
```



# NaAlSi3

A relaxed NaAlSi3 crystal (GGA-PBE, Alexandria via LeMat-Bulk).

Formation energy from raw total energies: 0.70 eV/atom
Polymorph energy (0 for the lowest one): 0.0 meV per atom

```
5
Lattice="4.842 0.000 0.000 0.000 4.842 0.000 0.000 0.000 4.842" Properties=species:S:1:pos:R:3 pbc="T T T"
Na 0.000 0.000 0.000
Al 2.421 2.421 2.421
Si 0.000 2.421 2.421
Si 2.421 0.000 2.421
Si 2.421 2.421 0.000
```



no.,electronic total energy (eV per formula unit)
1,-21.24
2,-8.83
3,-15.92
4,-33.31
5,-46.85
6,-17.82